No. 1
Entry from Alexandria via LeMat-Bulk: a relaxed KPbSCl crystal (GGA-PBE).

Unit cell a=4.292 b=4.292 c=22.722 alpha=90.00 beta=90.00 gamma=120.00
Fractional coordinates of all 12 atoms:
K (0.000, 0.000, 0.000)
K (0.333, 0.667, 0.667)
K (0.667, 0.333, 0.333)
Pb (0.000, 0.000, 0.510)
Pb (0.333, 0.667, 0.177)
Pb (0.667, 0.333, 0.844)
S (0.000, 0.000, 0.240)
S (0.333, 0.667, 0.907)
S (0.667, 0.333, 0.573)
Cl (0.000, 0.000, 0.750)
Cl (0.333, 0.667, 0.417)
Cl (0.667, 0.333, 0.083)

Computed properties:
final energy = -3.874 eV/atom
density = 4.31 g/cm³

=====

No. 2
Entry from Alexandria via LeMat-Bulk: a relaxed POs2Cl2 crystal (GGA-PBE).

Unit cell a=3.904 b=3.904 c=11.509 alpha=90.00 beta=90.00 gamma=90.00
Fractional coordinates of all 10 atoms:
P (0.000, 0.000, 0.000)
P (0.500, 0.500, 0.500)
Os (0.000, 0.000, 0.402)
Os (0.000, 0.000, 0.598)
Os (0.500, 0.500, 0.098)
Os (0.500, 0.500, 0.902)
Cl (0.000, 0.500, 0.250)
Cl (0.000, 0.500, 0.750)
Cl (0.500, 0.000, 0.250)
Cl (0.500, 0.000, 0.750)

Computed properties:
energy relative to the lowest polymorph listed for this composition = 4.31 eV per formula unit
density = 9.13 g/cm³

=====

No. 3
Entry from Alexandria via LeMat-Bulk: a relaxed MnFeP4 crystal (GGA-PBE).

Unit cell a=4.972 b=4.972 c=4.972 alpha=60.00 beta=60.00 gamma=60.00
Fractional coordinates of all 6 atoms:
Mn (0.000, 0.000, 0.000)
Fe (0.250, 0.250, 0.250)
P (0.126, 0.625, 0.625)
P (0.625, 0.126, 0.625)
P (0.625, 0.625, 0.126)
P (0.625, 0.625, 0.625)

Computed properties:
energy relative to the lowest polymorph listed for this composition = 5.47 eV per formula unit
density = 4.48 g/cm³
formation enthalpy at 0 K = 0.703 eV/atom

=====

No. 4
Entry from Alexandria via LeMat-Bulk: a relaxed Cs2RbTlCl4 crystal (GGA-PBE).

Unit cell a=8.350 b=4.837 c=8.370 alpha=90.00 beta=109.48 gamma=90.00
Fractional coordinates of all 8 atoms:
Cs (0.000, 0.000, 0.000)
Cs (0.500, 0.500, 0.000)
Rb (0.000, 0.500, 0.500)
Tl (0.500, 0.000, 0.500)
Cl (0.247, 0.000, 0.733)
Cl (0.258, 0.500, 0.268)
Cl (0.742, 0.500, 0.732)
Cl (0.753, 0.000, 0.267)

Computed properties:
final energy = -3.274 eV/atom
density = 3.63 g/cm³

=====

No. 5
Entry from Alexandria via LeMat-Bulk: a relaxed CaTh2TcN4 crystal (GGA-PBE).

Unit cell a=6.351 b=6.351 c=12.627 alpha=90.00 beta=90.00 gamma=146.50
Fractional coordinates of all 16 atoms:
Ca (0.052, 0.948, 0.750)
Ca (0.948, 0.052, 0.250)
Th (0.367, 0.633, 0.551)
Th (0.367, 0.633, 0.949)
Th (0.633, 0.367, 0.051)
Th (0.633, 0.367, 0.449)
Tc (0.191, 0.809, 0.250)
Tc (0.809, 0.191, 0.750)
N (0.000, 0.000, 0.000)
N (0.000, 0.000, 0.500)
N (0.252, 0.748, 0.104)
N (0.252, 0.748, 0.396)
N (0.395, 0.605, 0.750)
N (0.605, 0.395, 0.250)
N (0.748, 0.252, 0.604)
N (0.748, 0.252, 0.896)

Computed properties:
final energy = -8.511 eV/atom
density = 7.78 g/cm³

=====

No. 6
Entry from Alexandria via LeMat-Bulk: a relaxed KTaCo2I crystal (GGA-PBE).

Unit cell a=4.757 b=4.757 c=5.752 alpha=90.00 beta=90.00 gamma=90.00
Fractional coordinates of all 5 atoms:
K (0.000, 0.000, 0.000)
Ta (0.500, 0.500, 0.000)
Co (0.000, 0.500, 0.500)
Co (0.500, 0.000, 0.500)
I (0.000, 0.000, 0.500)

Computed properties:
final energy = -3.730 eV/atom
density = 5.93 g/cm³

=====

| no. | DOS at the Fermi energy (states/eV per cell) |
| --- | --- |
| 1 | 0.000 |
| 2 | 8.773 |
| 3 | 5.686 |
| 4 | 0.000 |
| 5 | 5.748 |
| 6 | 10.919 |